Record 1
First-principles (PBE) data for an optimized crystal structure of PmCd12Pt6, as listed in the Alexandria database.

Output
As for the density: 10.79 g/cm3. The uncorrected energy comes out at -55.90 eV for the cell shown.

Cell: 7.8159 7.8159 7.8159 Å, 105.80 105.80 105.80°
Fractional coordinates of all 19 atoms:
Pm: 0.0000 0.0000 0.0000
Cd: 0.1148 0.5000 0.8852
Cd: 0.1148 0.8852 0.5000
Cd: 0.1398 0.3905 0.3905
Cd: 0.3905 0.1398 0.3905
Cd: 0.3905 0.3905 0.1398
Cd: 0.5000 0.1148 0.8852
Cd: 0.5000 0.8852 0.1148
Cd: 0.6095 0.6095 0.8602
Cd: 0.6095 0.8602 0.6095
Cd: 0.8602 0.6095 0.6095
Cd: 0.8852 0.1148 0.5000
Cd: 0.8852 0.5000 0.1148
Pt: 0.2811 0.2811 0.7038
Pt: 0.2811 0.7038 0.2811
Pt: 0.2962 0.7189 0.7189
Pt: 0.7038 0.2811 0.2811
Pt: 0.7189 0.2962 0.7189
Pt: 0.7189 0.7189 0.2962

***

Record 2
First-principles (PBE) data for an optimized crystal structure of AcCeTmZn, as listed in the Alexandria database.

Output
As for the density: 8.49 g/cm3. The uncorrected energy comes out at -14.91 eV for the cell shown.

Cell: 5.4996 5.4996 5.4996 Å, 60.00 60.00 60.00°
Fractional coordinates of all 4 atoms:
Ac: 0.0000 0.0000 0.0000
Ce: 0.2500 0.2500 0.2500
Tm: 0.7500 0.7500 0.7500
Zn: 0.5000 0.5000 0.5000

***

Record 3
First-principles (PBE) data for an optimized crystal structure of LiBeIn2, as listed in the Alexandria database.

Output
As for the density: 5.46 g/cm3. The uncorrected energy comes out at -10.41 eV for the cell shown.

Cell: 4.8751 4.8751 4.8958 Å, 97.49 97.49 40.36°
Fractional coordinates of all 4 atoms:
Li: 0.0000 0.0000 0.0000
Be: 0.2597 0.2597 0.7611
In: 0.5109 0.5109 0.5479
In: 0.7449 0.7449 0.1991

***

Record 4
First-principles (PBE) data for an optimized crystal structure of Tm4In2Ga, as listed in the Alexandria database.

Output
As for the density: 8.50 g/cm3. For the offset from the most stable computed form, the calculation gives 0.000 eV/atom.

Cell: 8.8925 8.8925 8.8925 Å, 33.48 33.48 33.48°
Fractional coordinates of all 7 atoms:
Tm: 0.1244 0.1244 0.1244
Tm: 0.3758 0.3758 0.3758
Tm: 0.6242 0.6242 0.6242
Tm: 0.8756 0.8756 0.8756
In: 0.2471 0.2471 0.2471
In: 0.7529 0.7529 0.7529
Ga: 0.0000 0.0000 0.0000

***

Record 5
First-principles (PBE) data for an optimized crystal structure of Tb4Tl2TeAs, as listed in the Alexandria database.

Output
The uncorrected formation energy comes out at -863 meV/atom. As for the density: 8.95 g/cm3.

Cell: 7.1503 4.0883 8.2470 Å, 90.00 106.39 90.00°
Fractional coordinates of all 8 atoms:
Tb: 0.2252 0.0000 0.2205
Tb: 0.2396 0.5000 0.7676
Tb: 0.7604 0.5000 0.2324
Tb: 0.7748 0.0000 0.7795
Tl: 0.0000 0.0000 0.5000
Tl: 0.5000 0.5000 0.5000
Te: 0.5000 0.0000 0.0000
As: 0.0000 0.5000 0.0000

***

Record 6
First-principles (PBE) data for an optimized crystal structure of BiClF2, as listed in the Alexandria database.

Output
The uncorrected formation energy comes out at -1478 meV/atom. As for the density: 7.86 g/cm3. For the offset from the most stable computed form, the calculation gives 0.450 eV/atom.

Cell: 4.3858 4.3858 4.3858 Å, 60.00 60.00 60.00°
Fractional coordinates of all 4 atoms:
Bi: 0.0000 0.0000 0.0000
Cl: 0.5000 0.5000 0.5000
F: 0.2500 0.2500 0.2500
F: 0.7500 0.7500 0.7500

***

Record 7
First-principles (PBE) data for an optimized crystal structure of MnI2Cl, as listed in the Alexandria database.

Output
The uncorrected formation energy comes out at 194 meV/atom. As for the density: 5.46 g/cm3. For the offset from the most stable computed form, the calculation gives 0.685 eV/atom.

Cell: 5.2912 5.2912 5.2912 Å, 60.00 60.00 60.00°
Fractional coordinates of all 4 atoms:
Mn: 0.0000 0.0000 0.0000
I: 0.2500 0.2500 0.2500
I: 0.7500 0.7500 0.7500
Cl: 0.5000 0.5000 0.5000

***

Record 8
First-principles (PBE) data for an optimized crystal structure of BaUCuN3, as listed in the Alexandria database.

Output
The uncorrected formation energy comes out at -828 meV/atom. As for the density: 7.38 g/cm3.

Cell: 7.1318 3.7367 8.6770 Å, 90.00 110.61 90.00°
Fractional coordinates of all 12 atoms:
Ba: 0.0159 0.2500 0.2767
Ba: 0.9841 0.7500 0.7233
U: 0.4844 0.2500 0.6685
U: 0.5156 0.7500 0.3315
Cu: 0.3508 0.2500 0.9908
Cu: 0.6492 0.7500 0.0092
N: 0.2638 0.2500 0.7600
N: 0.3404 0.7500 0.4815
N: 0.3562 0.2500 0.2037
N: 0.6438 0.7500 0.7963
N: 0.6596 0.2500 0.5185
N: 0.7362 0.7500 0.2400

***

Record 9
First-principles (PBE) data for an optimized crystal structure of Ho5CN4, as listed in the Alexandria database.

Output
The uncorrected formation energy comes out at -1370 meV/atom. As for the density: 10.00 g/cm3.

Cell: 6.0237 6.0237 6.0237 Å, 99.49 99.49 132.09°
Fractional coordinates of all 10 atoms:
Ho: 0.0000 0.0000 0.0000
Ho: 0.1952 0.3961 0.5914
Ho: 0.3961 0.8048 0.2009
Ho: 0.6039 0.1952 0.7991
Ho: 0.8048 0.6039 0.4086
C: 0.5000 0.5000 0.0000
N: 0.0992 0.6986 0.7977
N: 0.3014 0.0992 0.4006
N: 0.6986 0.9008 0.5994
N: 0.9008 0.3014 0.2023

***

Record 10
First-principles (PBE) data for an optimized crystal structure of Pm5Dy2Y5, as listed in the Alexandria database.

Output
As for the density: 6.28 g/cm3. The uncorrected energy comes out at -65.08 eV for the cell shown.

Cell: 8.0443 8.0443 11.3797 Å, 115.13 115.13 36.91°
Fractional coordinates of all 12 atoms:
Pm: 0.0000 0.0000 0.0000
Pm: 0.0828 0.0828 0.7498
Pm: 0.1665 0.1665 0.4992
Pm: 0.8335 0.8335 0.5008
Pm: 0.9172 0.9172 0.2502
Dy: 0.4167 0.4167 0.7502
Dy: 0.5833 0.5833 0.2498
Y: 0.2489 0.2489 0.2488
Y: 0.3333 0.3333 0.9994
Y: 0.5000 0.5000 0.5000
Y: 0.6667 0.6667 0.0006
Y: 0.7511 0.7511 0.7512

***

Record 11
First-principles (PBE) data for an optimized crystal structure of ThCuNi4, as listed in the Alexandria database.

Output
As for the density: 10.15 g/cm3. For the offset from the most stable computed form, the calculation gives 0.142 eV/atom.

Cell: 7.8044 7.8044 5.9800 Å, 90.00 90.00 151.56°
Fractional coordinates of all 12 atoms:
Th: 0.1087 0.8913 0.7500
Th: 0.8913 0.1087 0.2500
Cu: 0.2330 0.7670 0.2500
Cu: 0.7670 0.2330 0.7500
Ni: 0.0745 0.9255 0.2500
Ni: 0.3356 0.6644 0.5557
Ni: 0.3356 0.6644 0.9443
Ni: 0.5000 0.5000 0.0000
Ni: 0.5000 0.5000 0.5000
Ni: 0.6644 0.3356 0.0557
Ni: 0.6644 0.3356 0.4443
Ni: 0.9255 0.0745 0.7500

***

Record 12
First-principles (PBE) data for an optimized crystal structure of Tb5NdEr12, as listed in the Alexandria database.

Output
As for the density: 8.65 g/cm3. The uncorrected energy comes out at -80.57 eV for the cell shown.

Cell: 10.2473 10.2473 5.9077 Å, 90.00 90.00 114.20°
Fractional coordinates of all 18 atoms:
Tb: 0.0000 0.0000 0.0000
Tb: 0.1685 0.8315 0.5000
Tb: 0.3323 0.6677 0.0000
Tb: 0.6677 0.3323 0.0000
Tb: 0.8315 0.1685 0.5000
Nd: 0.5000 0.5000 0.5000
Er: 0.0083 0.3418 0.0511
Er: 0.1560 0.4900 0.5514
Er: 0.1717 0.1717 0.4545
Er: 0.3242 0.3242 0.9544
Er: 0.3418 0.0083 0.0511
Er: 0.4900 0.1560 0.5514
Er: 0.5100 0.8440 0.4486
Er: 0.6582 0.9917 0.9489
Er: 0.6758 0.6758 0.0456
Er: 0.8283 0.8283 0.5455
Er: 0.8440 0.5100 0.4486
Er: 0.9917 0.6582 0.9489